VASP calculation (PBE) on Th5Hg2Ir after structural relaxation.

```
Th5Hg2Ir
1.0
2.754 -7.635 0.000
2.754 7.635 0.000
0.000 0.000 13.126
Th Hg Ir
10 4 2
Cartesian
2.754 6.372 7.757
2.754 6.372 11.931
2.754 2.891 3.281
2.754 2.879 7.248
2.754 2.879 12.441
2.754 -2.879 0.685
2.754 -2.879 5.878
2.754 -2.891 9.844
2.754 -6.372 1.194
2.754 -6.372 5.369
2.754 5.814 1.874
2.754 5.814 4.689
2.754 -5.814 8.437
2.754 -5.814 11.252
2.754 4.448 9.844
2.754 -4.448 3.281
```

## Properties
Formation energy from the elements in eV per atom: 0.0613
V in Å³/f.u.: 276.0
DOS(E_F) in states/eV/atom: 1.2714

VASP calculation (PBE) on Th5Hg2Ir2 after structural relaxation.

```
Th5Hg2Ir2
1.0
-8.822 4.160 3.534
8.822 -4.160 3.534
8.822 4.160 -3.534
Th Hg Ir
10 4 4
Cartesian
4.411 1.746 -1.195
2.782 -0.852 1.525
6.040 -0.852 1.525
0.609 2.058 0.000
8.213 2.058 0.000
6.040 5.012 -2.009
11.604 0.852 1.525
4.411 2.414 2.339
0.609 2.101 3.534
8.213 2.101 3.534
-1.880 3.864 1.752
1.880 -0.295 5.287
1.880 4.455 1.752
6.942 4.455 1.752
0.000 0.000 1.794
8.822 0.000 1.794
4.411 -0.185 3.702
4.411 4.344 0.168
```

## Properties
Formation energy from the elements in eV per atom: -0.3568
V in Å³/f.u.: 259.4
DOS(E_F) in states/eV/atom: 1.0904